Li3Ac2MnO6 after structural relaxation. Source: Alexandria via LeMat-Bulk, functional PBE+U.

Unit cell a=6.3292 b=6.3292 c=5.2035 alpha=97.65 beta=97.65 gamma=126.26
Atoms (fractional coordinates):
Li (0.0000, 0.0000, 0.0000)
Li (0.4011, 0.5989, 0.0000)
Li (0.5989, 0.4011, 0.0000)
Ac (0.1671, 0.8329, 0.5000)
Ac (0.8329, 0.1671, 0.5000)
Mn (0.5000, 0.5000, 0.5000)
O (0.1740, 0.4388, 0.2608)
O (0.2503, 0.2503, 0.7331)
O (0.4388, 0.1740, 0.2608)
O (0.5612, 0.8260, 0.7392)
O (0.7497, 0.7497, 0.2669)
O (0.8260, 0.5612, 0.7392)

Computed properties:
**Symmetry**: C2/m
**Total magnetic moment**: 2.0 μB per formula unit
**Raw total energy**: -6.43 eV per atom